TbSb2Pt9 after structural relaxation, computed with PBE.

Unit cell a=4.1055 b=4.1055 c=12.2783 alpha=90.00 beta=90.00 gamma=90.00
With the nearest neighbours (Å) after each atom.
Fractional coordinates of all 12 atoms:
Tb 0.0000 0.0000 0.0000  12 Pt 2.90-2.94
Sb 0.0000 0.0000 0.3313  12 Pt 2.85-2.92
Sb 0.0000 0.0000 0.6687  12 Pt 2.85-2.92
Pt 0.0000 0.5000 0.1708  2 Sb 2.85, 8 Pt 2.90-2.94, 2 Tb 2.94
Pt 0.0000 0.5000 0.5000  8 Pt 2.86-2.90, 4 Sb 2.92
Pt 0.0000 0.5000 0.8292  2 Sb 2.85, 8 Pt 2.90-2.94, 2 Tb 2.94
Pt 0.5000 0.0000 0.1708  2 Sb 2.85, 8 Pt 2.90-2.94, 2 Tb 2.94
Pt 0.5000 0.0000 0.5000  8 Pt 2.86-2.90, 4 Sb 2.92
Pt 0.5000 0.0000 0.8292  2 Sb 2.85, 8 Pt 2.90-2.94, 2 Tb 2.94
Pt 0.5000 0.5000 0.0000  4 Tb 2.90, 8 Pt 2.94
Pt 0.5000 0.5000 0.3383  8 Pt 2.86-2.91, 4 Sb 2.90
Pt 0.5000 0.5000 0.6617  8 Pt 2.86-2.91, 4 Sb 2.90

Properties
**VASP energy**: -6.06 eV per atom
**M_tot**: 0.0 Bohr magnetons per cell
**E_form (uncorrected)**: -455 meV/atom
**Symmetry**: P4/mmm
**Crystal system**: tetragonal
**Density**: 17.3 Mg/m³



TcSbPt4 after structural relaxation, computed with PBE.

Unit cell a=5.3390 b=5.3390 c=5.3390 alpha=60.00 beta=60.00 gamma=60.00
With the nearest neighbours (Å) after each atom.
Fractional coordinates of all 6 atoms:
Tc 0.0000 0.0000 0.0000  12 Pt 3.13, 4 Sb 3.27
Sb 0.2500 0.2500 0.2500  12 Pt 3.13, 4 Tc 3.27
Pt 0.1234 0.6255 0.6255  6 Pt 2.66-2.68
Pt 0.6255 0.1234 0.6255  6 Pt 2.66-2.68
Pt 0.6255 0.6255 0.1234  6 Pt 2.66-2.68
Pt 0.6255 0.6255 0.6255  6 Pt 2.66-2.68

Properties
**VASP energy**: -6.19 eV per atom
**M_tot**: 3.8 Bohr magnetons per cell
**E_form (uncorrected)**: 252 meV/atom
**Symmetry**: F-43m
**Crystal system**: cubic
**Density**: 15.4 Mg/m³



Tc3SbPt after structural relaxation, computed with PBE.

Unit cell a=4.7697 b=4.7697 c=4.7697 alpha=90.00 beta=90.00 gamma=90.00
With the nearest neighbours (Å) after each atom.
Fractional coordinates of all 5 atoms:
Tc 0.0000 0.0000 0.5000  2 Pt 2.38
Tc 0.0000 0.5000 0.0000  2 Pt 2.38
Tc 0.5000 0.0000 0.0000  2 Pt 2.38
Sb 0.5000 0.5000 0.5000  12 Tc 3.37
Pt 0.0000 0.0000 0.0000  6 Tc 2.38

Properties
**VASP energy**: -6.53 eV per atom
**M_tot**: 2.4 Bohr magnetons per cell
**E_form (uncorrected)**: 1718 meV/atom
**Symmetry**: Pm-3m
**Crystal system**: cubic
**Density**: 9.3 Mg/m³



TcSbPt3 after structural relaxation, computed with PBE.

Unit cell a=4.9138 b=4.9138 c=4.9138 alpha=90.00 beta=90.00 gamma=90.00
With the nearest neighbours (Å) after each atom.
Fractional coordinates of all 5 atoms:
Tc 0.0000 0.0000 0.0000  12 Pt 3.47
Sb 0.5000 0.5000 0.5000  6 Pt 2.46
Pt 0.0000 0.5000 0.5000  2 Sb 2.46
Pt 0.5000 0.0000 0.5000  2 Sb 2.46
Pt 0.5000 0.5000 0.0000  2 Sb 2.46

Properties
**VASP energy**: -5.32 eV per atom
**M_tot**: 4.2 Bohr magnetons per cell
**E_form (uncorrected)**: 1203 meV/atom
**Symmetry**: Pm-3m
**Crystal system**: cubic
**Density**: 11.3 Mg/m³



Tc2Sb2Pt after structural relaxation, computed with PBE.

Unit cell a=7.5817 b=7.5817 c=3.1199 alpha=90.00 beta=90.00 gamma=90.00
With the nearest neighbours (Å) after each atom.
Fractional coordinates of all 10 atoms:
Tc 0.1450 0.3550 0.0000  6 Sb 2.67-2.75
Tc 0.3550 0.8550 0.0000  6 Sb 2.67-2.75
Tc 0.6450 0.1450 0.0000  6 Sb 2.67-2.75
Tc 0.8550 0.6450 0.0000  6 Sb 2.67-2.75
Sb 0.1535 0.6535 0.5000  6 Tc 2.67-2.75, 2 Pt 2.87
Sb 0.3465 0.1535 0.5000  6 Tc 2.67-2.75, 2 Pt 2.87
Sb 0.6535 0.8465 0.5000  6 Tc 2.67-2.75, 2 Pt 2.87
Sb 0.8465 0.3465 0.5000  6 Tc 2.67-2.75, 2 Pt 2.87
Pt 0.0000 0.0000 0.5000  4 Sb 2.87, 2 Pt 3.12
Pt 0.5000 0.5000 0.5000  4 Sb 2.87, 2 Pt 3.12

Properties
**VASP energy**: -6.73 eV per atom
**M_tot**: 0.0 Bohr magnetons per cell
**E_form (uncorrected)**: 277 meV/atom
**Symmetry**: P4/mbm
**Crystal system**: tetragonal
**Density**: 11.8 Mg/m³



Tc2Sb2Pt after structural relaxation, computed with PBE.

Unit cell a=4.2495 b=4.2495 c=11.3018 alpha=90.00 beta=90.00 gamma=90.00
With the nearest neighbours (Å) after each atom.
Fractional coordinates of all 10 atoms:
Tc 0.0000 0.5000 0.2500  4 Sb 2.60
Tc 0.0000 0.5000 0.7500  4 Sb 2.60
Tc 0.5000 0.0000 0.2500  4 Sb 2.60
Tc 0.5000 0.0000 0.7500  4 Sb 2.60
Sb 0.0000 0.0000 0.1173  4 Tc 2.60, 1 Sb 2.65
Sb 0.0000 0.0000 0.8827  4 Tc 2.60, 1 Sb 2.65
Sb 0.5000 0.5000 0.3827  4 Tc 2.60, 1 Sb 2.65
Sb 0.5000 0.5000 0.6173  4 Tc 2.60, 1 Sb 2.65
Pt 0.0000 0.0000 0.5000  8 Sb 3.28, 8 Tc 3.54
Pt 0.5000 0.5000 0.0000  8 Sb 3.28, 8 Tc 3.54

Properties
**VASP energy**: -6.38 eV per atom
**M_tot**: 1.1 Bohr magnetons per cell
**E_form (uncorrected)**: 622 meV/atom
**Symmetry**: I4/mmm
**Crystal system**: tetragonal
**Density**: 10.3 Mg/m³



TcSbPt3 after structural relaxation, computed with PBE.

Unit cell a=4.8219 b=4.8219 c=4.8219 alpha=90.00 beta=90.00 gamma=90.00
With the nearest neighbours (Å) after each atom.
Fractional coordinates of all 5 atoms:
Tc 0.0000 0.0000 0.0000  6 Pt 2.41
Sb 0.5000 0.5000 0.5000  12 Pt 3.41
Pt 0.0000 0.0000 0.5000  2 Tc 2.41
Pt 0.0000 0.5000 0.0000  2 Tc 2.41
Pt 0.5000 0.0000 0.0000  2 Tc 2.41

Properties
**VASP energy**: -5.52 eV per atom
**M_tot**: 0.0 Bohr magnetons per cell
**E_form (uncorrected)**: 1002 meV/atom
**Symmetry**: Pm-3m
**Crystal system**: cubic
**Density**: 11.9 Mg/m³



TcSbTe2Pt after structural relaxation, computed with PBE.

Unit cell a=5.3974 b=5.3974 c=5.0883 alpha=90.00 beta=90.00 gamma=90.00
With the nearest neighbours (Å) after each atom.
Fractional coordinates of all 5 atoms:
Tc 0.0000 0.0000 0.0000  8 Te 3.71, 4 Sb 3.82
Sb 0.5000 0.5000 0.0000  2 Pt 2.54
Te 0.0000 0.5000 0.5000  2 Pt 2.70
Te 0.5000 0.0000 0.5000  2 Pt 2.70
Pt 0.5000 0.5000 0.5000  2 Sb 2.54, 4 Te 2.70

Properties
**VASP energy**: -4.35 eV per atom
**M_tot**: 3.7 Bohr magnetons per cell
**E_form (uncorrected)**: 1008 meV/atom
**Symmetry**: P4/mmm
**Crystal system**: tetragonal
**Density**: 7.5 Mg/m³